A relaxed AcVRu2 crystal. Source: Alexandria via LeMat-Bulk, functional PBE.

Output
density of states at the Fermi level = 0.849 states/eV/atom
space group = R-3m
energy relative to the elements = -2 kJ/mol of formula units
offset from the most stable computed form = 0 meV/atom
total magnetic moment = 0.00 Bohr magnetons per cell

Cell: 4.0875 4.0875 6.1858 Å, 70.71 70.71 60.00°
Closest atoms and distances in Å follow each position.
Sites, in units of the cell vectors:
Ru1 0.7116 0.7116 0.8653  3 V 2.48
Ru2 0.2884 0.2884 0.1347  3 V 2.48
Ac1 0.5000 0.5000 0.5000  6 Ru 3.15
V1 0.0000 0.0000 0.0000  6 Ru 2.48